No. 1
# PBE LaCu2Pt, optimized geometry
data_LaCu2Pt
_chemical_formula_sum 'La4 Cu8 Pt4'
_cell_length_a 6.6556
_cell_length_b 6.6556
_cell_length_c 6.6556
_cell_angle_alpha 90.00
_cell_angle_beta 90.00
_cell_angle_gamma 90.00
_space_group_name_H-M_alt 'F m -3 m'
_space_group_IT_number 225
_space_group_name_Hall '-F 4 2 3'
loop_
_atom_site_label
_atom_site_type_symbol
_atom_site_fract_x
_atom_site_fract_y
_atom_site_fract_z
_atom_site_occupancy
La1 La 0.0000 0.0000 0.0000 1
Cu1 Cu 0.2500 0.2500 0.2500 1
Pt1 Pt 0.0000 0.0000 0.5000 1
# Polymorph energy (0 for the lowest one)   0.213 eV per atom
# Crystal system   cubic
# Energy of formation   -0.31 eV/atom

No. 2
# PBE PrErBr3, optimized geometry
data_PrErBr3
_chemical_formula_sum 'Pr4 Er4 Br12'
_cell_length_a 18.6236
_cell_length_b 3.9379
_cell_length_c 11.7313
_cell_angle_alpha 90.00
_cell_angle_beta 124.22
_cell_angle_gamma 90.00
_space_group_name_H-M_alt 'C 1 2/m 1'
_space_group_IT_number 12
loop_
_space_group_symop_operation_xyz
'x,y,z'
'-x,-y,-z'
'-x,y,-z'
'x,-y,z'
'x+1/2,y+1/2,z'
'-x+1/2,-y+1/2,-z'
'-x+1/2,y+1/2,-z'
'x+1/2,-y+1/2,z'
loop_
_atom_site_label
_atom_site_type_symbol
_atom_site_fract_x
_atom_site_fract_y
_atom_site_fract_z
_atom_site_occupancy
Pr1 Pr 0.1385 0.0000 0.2860 1
Er1 Er 0.0705 0.5000 0.9585 1
Br1 Br 0.0364 0.0000 0.7539 1
Br2 Br 0.1637 0.5000 0.5093 1
Br3 Br 0.2089 0.0000 0.1125 1
# Raw formation energy   -1505.9 meV/atom
# Crystal system   monoclinic

No. 3
# PBE CoHgBi2, optimized geometry
data_CoHgBi2
_chemical_formula_sum 'Co3 Hg3 Bi6'
_cell_length_a 3.2969
_cell_length_b 3.2969
_cell_length_c 35.2179
_cell_angle_alpha 90.00
_cell_angle_beta 90.00
_cell_angle_gamma 120.00
_space_group_name_H-M_alt 'R -3 m'
_space_group_IT_number 166
_space_group_name_Hall '-R 3 2"'
loop_
_atom_site_label
_atom_site_type_symbol
_atom_site_fract_x
_atom_site_fract_y
_atom_site_fract_z
_atom_site_occupancy
Co1 Co 0.0000 0.0000 0.0000 1
Hg1 Hg 0.0000 0.0000 0.5000 1
Bi1 Bi 0.0000 0.0000 0.0730 1
# Crystal system   trigonal
# Energy of formation   0.61 eV/atom

No. 4
# PBE Ag3Te, optimized geometry
data_Ag3Te
_chemical_formula_sum 'Ag6 Te2'
_cell_length_a 4.3077
_cell_length_b 4.3077
_cell_length_c 8.8888
_cell_angle_alpha 90.00
_cell_angle_beta 90.00
_cell_angle_gamma 90.00
_space_group_name_H-M_alt 'I 4/m m m'
_space_group_IT_number 139
_space_group_name_Hall '-I 4 2'
loop_
_atom_site_label
_atom_site_type_symbol
_atom_site_fract_x
_atom_site_fract_y
_atom_site_fract_z
_atom_site_occupancy
Ag1 Ag 0.0000 0.0000 0.0000 1
Ag2 Ag 0.0000 0.5000 0.2500 1
Te1 Te 0.0000 0.0000 0.5000 1
# Raw formation energy   72.4 meV/atom
# Polymorph energy (0 for the lowest one)   0.045 eV per atom
# Crystal system   tetragonal

No. 5
# PBE Co2AgPd8, optimized geometry
data_Co2AgPd8
_chemical_formula_sum 'Co4 Ag2 Pd16'
_cell_length_a 18.2627
_cell_length_b 2.7845
_cell_length_c 7.2249
_cell_angle_alpha 90.00
_cell_angle_beta 111.55
_cell_angle_gamma 90.00
_space_group_name_H-M_alt 'C 1 2/m 1'
_space_group_IT_number 12
loop_
_space_group_symop_operation_xyz
'x,y,z'
'-x,-y,-z'
'-x,y,-z'
'x,-y,z'
'x+1/2,y+1/2,z'
'-x+1/2,-y+1/2,-z'
'-x+1/2,y+1/2,-z'
'x+1/2,-y+1/2,z'
loop_
_atom_site_label
_atom_site_type_symbol
_atom_site_fract_x
_atom_site_fract_y
_atom_site_fract_z
_atom_site_occupancy
Co1 Co 0.1897 0.0000 0.1948 1
Ag1 Ag 0.0000 0.5000 0.5000 1
Pd1 Pd 0.0535 0.0000 0.2302 1
Pd2 Pd 0.0840 0.5000 0.9285 1
Pd3 Pd 0.1808 0.5000 0.4884 1
Pd4 Pd 0.1962 0.0000 0.8348 1
# Crystal system   monoclinic
# Energy of formation   0.09 eV/atom

No. 6
# PBE Ru2Pb, optimized geometry
data_Ru2Pb
_chemical_formula_sum 'Ru8 Pb4'
_cell_length_a 6.2367
_cell_length_b 6.2367
_cell_length_c 6.2367
_cell_angle_alpha 90.00
_cell_angle_beta 90.00
_cell_angle_gamma 90.00
_space_group_name_H-M_alt 'F m -3 m'
_space_group_IT_number 225
_space_group_name_Hall '-F 4 2 3'
loop_
_atom_site_label
_atom_site_type_symbol
_atom_site_fract_x
_atom_site_fract_y
_atom_site_fract_z
_atom_site_occupancy
Ru1 Ru 0.2500 0.2500 0.2500 1
Pb1 Pb 0.0000 0.0000 0.0000 1
# Polymorph energy (0 for the lowest one)   0.710 eV per atom
# Crystal system   cubic
# Energy of formation   1.12 eV/atom